Computed, not measured: a relaxed structure of La3SmDy2Tm6 at the PBE level of DFT.

Its crystal system is monoclinic. The calculation puts the uncorrected energy at -110.498 eV per cell. The energy of formation comes out at 0.02 eV/atom.

CIF file:
```
data_La3SmDy2Tm6
_chemical_formula_sum 'La6 Sm2 Dy4 Tm12'
_cell_length_a 6.205
_cell_length_b 10.742
_cell_length_c 11.734
_cell_angle_alpha 90.00
_cell_angle_beta 100.12
_cell_angle_gamma 90.00
_space_group_name_H-M_alt 'C 1 2/m 1'
_space_group_IT_number 12
_space_group_name_Hall '-C 2y'
loop_
_atom_site_label
_atom_site_type_symbol
_atom_site_fract_x
_atom_site_fract_y
_atom_site_fract_z
La1 La 0.000 0.000 0.000
La2 La 0.000 0.333 0.000
Sm1 Sm 0.000 0.500 0.500
Dy1 Dy 0.000 0.167 0.500
Tm1 Tm 0.248 0.000 0.745
Tm2 Tm 0.248 0.333 0.745
```

***

Computed, not measured: a relaxed structure of TiVIr2 at the PBE level of DFT.

Its crystal system is tetragonal. The calculation puts the uncorrected energy at -37.267 eV per cell. Its offset from the most stable computed form is 2 kJ/mol of formula units. The energy of formation comes out at -0.63 eV/atom.

CIF file:
```
data_TiVIr2
_chemical_formula_sum 'Ti1 V1 Ir2'
_cell_length_a 4.028
_cell_length_b 4.028
_cell_length_c 3.586
_cell_angle_alpha 90.00
_cell_angle_beta 90.00
_cell_angle_gamma 90.00
_space_group_name_H-M_alt 'P 4/m m m'
_space_group_IT_number 123
_space_group_name_Hall '-P 4 2'
loop_
_atom_site_label
_atom_site_type_symbol
_atom_site_fract_x
_atom_site_fract_y
_atom_site_fract_z
Ti1 Ti 0.000 0.000 0.000
V1 V 0.500 0.500 0.000
Ir1 Ir 0.000 0.500 0.500
```

***

Computed, not measured: a relaxed structure of Sr5Sm3Te8 at the PBE level of DFT.

Its crystal system is trigonal. The calculation puts the uncorrected energy at -218.912 eV per cell.

CIF file:
```
data_Sr5Sm3Te8
_chemical_formula_sum 'Sr15 Sm9 Te24'
_cell_length_a 9.1817
_cell_length_b 9.1817
_cell_length_c 22.8263
_cell_angle_alpha 90.00
_cell_angle_beta 90.00
_cell_angle_gamma 120.00
_space_group_name_H-M_alt 'R -3 m'
_space_group_IT_number 166
_space_group_name_Hall '-R 3 2"'
loop_
_atom_site_label
_atom_site_type_symbol
_atom_site_fract_x
_atom_site_fract_y
_atom_site_fract_z
Sr1 Sr 0.0000 0.0000 0.0000
Sr2 Sr 0.0000 0.0000 0.5000
Sr3 Sr 0.0000 0.5000 0.0000
Sm1 Sm 0.0000 0.5000 0.5000
Te1 Te 0.0000 0.0000 0.2456
Te2 Te 0.0067 0.5034 0.7533
```

***

Computed, not measured: a relaxed structure of AcThAlZn at the PBE level of DFT.

Its crystal system is cubic. The calculation puts the uncorrected energy at -68.686 eV per cell. The energy of formation comes out at -0.16 eV/atom.

CIF file:
```
data_AcThAlZn
_chemical_formula_sum 'Ac4 Th4 Al4 Zn4'
_cell_length_a 7.621
_cell_length_b 7.621
_cell_length_c 7.621
_cell_angle_alpha 90.00
_cell_angle_beta 90.00
_cell_angle_gamma 90.00
_space_group_name_H-M_alt 'F -4 3 m'
_space_group_IT_number 216
_space_group_name_Hall 'F -4 2 3'
loop_
_atom_site_label
_atom_site_type_symbol
_atom_site_fract_x
_atom_site_fract_y
_atom_site_fract_z
Ac1 Ac 0.000 0.000 0.000
Th1 Th 0.000 0.000 0.500
Al1 Al 0.250 0.250 0.750
Zn1 Zn 0.250 0.250 0.250
```

***

Computed, not measured: a relaxed structure of Ce3Cu4Si2 at the PBE level of DFT.

Its crystal system is monoclinic. The calculation puts the uncorrected energy at -97.061 eV per cell.

CIF file:
```
data_Ce3Cu4Si2
_chemical_formula_sum 'Ce6 Cu8 Si4'
_cell_length_a 10.530
_cell_length_b 4.242
_cell_length_c 8.283
_cell_angle_alpha 90.00
_cell_angle_beta 108.93
_cell_angle_gamma 90.00
_space_group_name_H-M_alt 'C 1 2/m 1'
_space_group_IT_number 12
_space_group_name_Hall '-C 2y'
loop_
_atom_site_label
_atom_site_type_symbol
_atom_site_fract_x
_atom_site_fract_y
_atom_site_fract_z
Ce1 Ce 0.000 0.000 0.000
Ce2 Ce 0.162 0.500 0.672
Cu1 Cu 0.066 0.000 0.397
Cu2 Cu 0.217 0.500 0.057
Si1 Si 0.118 0.500 0.285
```

***

Computed, not measured: a relaxed structure of ScAl2Hg2 at the PBE level of DFT.

Its crystal system is tetragonal. The calculation puts the uncorrected energy at -28.847 eV per cell. Its offset from the most stable computed form is 42 kJ/mol of formula units. The energy of formation comes out at 0.00 eV/atom.

CIF file:
```
data_ScAl2Hg2
_chemical_formula_sum 'Sc2 Al4 Hg4'
_cell_length_a 7.806
_cell_length_b 7.806
_cell_length_c 3.433
_cell_angle_alpha 90.00
_cell_angle_beta 90.00
_cell_angle_gamma 90.00
_space_group_name_H-M_alt 'P 4/m b m'
_space_group_IT_number 127
_space_group_name_Hall '-P 4 2ab'
loop_
_atom_site_label
_atom_site_type_symbol
_atom_site_fract_x
_atom_site_fract_y
_atom_site_fract_z
Sc1 Sc 0.000 0.000 0.000
Al1 Al 0.169 0.331 0.500
Hg1 Hg 0.136 0.636 0.000
```

***

Computed, not measured: a relaxed structure of TiAlHRh2 at the PBE level of DFT.

Its crystal system is tetragonal. The calculation puts the uncorrected energy at -32.735 eV per cell.

CIF file:
```
data_TiAlHRh2
_chemical_formula_sum 'Ti1 Al1 H1 Rh2'
_cell_length_a 4.004
_cell_length_b 4.004
_cell_length_c 3.777
_cell_angle_alpha 90.00
_cell_angle_beta 90.00
_cell_angle_gamma 90.00
_space_group_name_H-M_alt 'P 4/m m m'
_space_group_IT_number 123
_space_group_name_Hall '-P 4 2'
loop_
_atom_site_label
_atom_site_type_symbol
_atom_site_fract_x
_atom_site_fract_y
_atom_site_fract_z
Ti1 Ti 0.000 0.000 0.000
Al1 Al 0.500 0.500 0.000
H1 H 0.000 0.000 0.500
Rh1 Rh 0.000 0.500 0.500
```

***

Computed, not measured: a relaxed structure of NaTl2Pt2 at the PBE level of DFT.

Its crystal system is triclinic. The calculation puts the uncorrected energy at -37.517 eV per cell. Its offset from the most stable computed form is 8 kJ/mol of formula units. The energy of formation comes out at -0.13 eV/atom.

CIF file:
```
data_NaTl2Pt2
_chemical_formula_sum 'Na2 Tl4 Pt4'
_cell_length_a 6.041
_cell_length_b 6.920
_cell_length_c 6.977
_cell_angle_alpha 83.24
_cell_angle_beta 73.97
_cell_angle_gamma 64.73
_space_group_name_H-M_alt 'P -1'
_space_group_IT_number 2
_space_group_name_Hall '-P 1'
loop_
_atom_site_label
_atom_site_type_symbol
_atom_site_fract_x
_atom_site_fract_y
_atom_site_fract_z
Na1 Na 0.174 0.145 0.252
Tl1 Tl 0.143 0.221 0.753
Tl2 Tl 0.453 0.578 0.251
Pt1 Pt 0.232 0.812 0.945
Pt2 Pt 0.454 0.814 0.555
```

***

Which of these has the lowest uncorrected energy? Sr5Sm3Te8